{
  "formula": "CsLiInBr3",
  "functional": "PBE",
  "state": "relaxed",
  "space_group": "No. 11",
  "e_tot_ev_per_cell": -36.88,
  "formation_energy_uncorrected_ev_per_fu": -7.91,
  "lattice": [[10.3515, 0.0000, 0.0000], [0.0000, 4.5912, 0.0000], [-1.6755, 0.0000, 10.3505]],
  "species": ["Cs", "Cs", "Li", "Li", "In", "In", "Br", "Br", "Br", "Br", "Br", "Br"],
  "frac_coords": [[0.2023, 0.2500, 0.1632], [0.7977, 0.7500, 0.8368], [0.4031, 0.7500, 0.9103], [0.5969, 0.2500, 0.0897], [0.1630, 0.2500, 0.6386], [0.8370, 0.7500, 0.3614], [0.1361, 0.7500, 0.4101], [0.1583, 0.7500, 0.8807], [0.4984, 0.7500, 0.1525], [0.5016, 0.2500, 0.8475], [0.8417, 0.2500, 0.1193], [0.8639, 0.2500, 0.5899]]
}